Entry 1:
PBE-GGA NaPmTe2O8, optimized geometry; E_form (uncorrected) = -1.595 eV per atom; SG = I-4, No. 82
1.0
5.360 0.000 0.000
0.000 5.360 0.000
-2.680 -2.680 5.796
Te O Na Pm
2 8 1 1
Cartesian
0.000 2.680 2.898
2.680 2.680 0.000
0.849 3.986 1.886
1.769 1.381 0.958
1.306 1.831 3.910
-1.306 3.529 3.910
-1.299 0.911 4.838
1.299 -0.911 4.838
-0.849 1.374 1.886
3.591 3.979 0.958
2.680 0.000 2.898
0.000 0.000 0.000



Entry 2:
PBE-GGA Zr2PaTl2Se6, optimized geometry; E_form (uncorrected) = -1.115 eV per atom; SG = C2/m, No. 12
1.0
-0.910 -1.232 6.566
6.159 -0.382 -2.716
-0.535 8.405 0.362
Se Tl Zr Pa
6 2 2 1
Cartesian
-0.332 5.390 2.750
1.289 2.053 1.170
5.045 1.400 1.462
2.075 5.680 -0.409
2.639 1.111 4.621
3.425 4.738 3.042
5.011 -0.520 -1.209
0.238 -1.094 5.059
1.167 3.252 3.669
3.547 3.539 0.543
-0.268 4.202 0.181



Entry 3:
PBE-GGA CaBr2, optimized geometry; E_form (uncorrected) = -1.907 eV per atom; SG = P-62m, No. 189
1.0
3.958 -6.856 0.000
3.958 6.856 0.000
0.000 0.000 4.598
Br Ca
6 3
Cartesian
1.028 1.781 0.000
1.028 -1.781 0.000
3.194 0.000 2.299
2.361 4.089 2.299
2.361 -4.089 2.299
5.860 0.000 0.000
0.000 0.000 2.299
3.958 -2.285 0.000
3.958 2.285 0.000



Entry 4:
PBE-GGA GdDyInTc, optimized geometry; ΔH_f (0 K) = -127.5 meV per atom; SG = F-43m, No. 216
1.0
-1.632 3.345 3.480
1.611 -0.350 4.822
3.202 3.492 1.876
Gd In Tc Dy
1 1 1 1
Cartesian
2.385 4.865 7.634
0.000 0.000 0.000
1.590 3.244 5.089
0.795 1.622 2.545